12
Lattice="5.435 0.000 0.000 0.000 5.435 0.000 0.000 0.000 10.806" Properties=species:S:1:pos:R:3 comment="AcMgCd2Pt2 (PBE-GGA, optimized geometry)" spacegroup="I4/mmm (139)" crystal_system=tetragonal energy_ev_per_fu=-21.67 formation_enthalpy_0k_ev_per_atom=-0.342 pbc="T T T"
Ac 0.000 0.000 0.000
Ac 2.718 2.718 5.403
Mg 0.000 0.000 5.403
Mg 2.718 2.718 0.000
Cd 0.000 2.718 2.702
Cd 0.000 2.718 8.105
Cd 2.718 0.000 2.702
Cd 2.718 0.000 8.105
Pt 0.000 0.000 2.897
Pt 0.000 0.000 7.909
Pt 2.718 2.718 2.506
Pt 2.718 2.718 8.301